# ScC2Cl

A geometry-optimized ScC2Cl structure (PBE-GGA, the Alexandria database).

Computed properties:
Relative energy among the computed polymorphs ... 212.8 meV per atom
Total moment ... 0.00 μB per cell
Space group ... Fm-3m (225)

Cell: 4.1753 4.1753 4.1753 Å, 60.00 60.00 60.00°
Last column: nearest neighbours and their distance in Å.
Fractional positions:
Sc  0.0000  0.0000  0.0000  8 C 2.56
C  0.2500  0.2500  0.2500  4 Cl 2.56, 4 Sc 2.56
C  0.7500  0.7500  0.7500  4 Cl 2.56, 4 Sc 2.56
Cl  0.5000  0.5000  0.5000  8 C 2.56